Computed, not measured: crystalline EuDyTlNi at its relaxed geometry at the PBE level of DFT.

Formation enthalpy at 0 K, meV/atom: -151
Density, Mg/m³: 9.59
SG: F-43m, No. 216
Calculated total energy, eV per formula unit: -23.63

a = 5.2097 Å, b = 5.2097 Å, c = 5.2097 Å
α = 60.00°, β = 60.00°, γ = 60.00°
Closest atoms and distances in Å follow each position.
Sites, in units of the cell vectors:
1 Eu 0.0000 0.0000 0.0000  4 Ni 3.19, 4 Tl 3.19
2 Ni 0.2500 0.2500 0.2500  4 Dy 3.19, 4 Eu 3.19
3 Tl 0.7500 0.7500 0.7500  4 Dy 3.19, 4 Eu 3.19
4 Dy 0.5000 0.5000 0.5000  4 Tl 3.19, 4 Ni 3.19